(1)
DFT (PBE) results for an optimized crystal structure of NdTiGe2.

Calculated values
- volume (Å³/atom) = 21.82
- crystal system = trigonal
- formation energy from the elements (eV/f.u.) = -2.3

Cell: 4.2666 4.2666 6.0606 Å, 69.39 69.39 60.00°
Fractional positions:
Ge  0.2718  0.2718  0.1846
Ge  0.7282  0.7282  0.8154
Ti  0.0000  0.0000  0.0000
Nd  0.5000  0.5000  0.5000

***

(2)
DFT (PBE) results for an optimized crystal structure of InIr2Se.

Calculated values
- volume (Å³/atom) = 18.52
- crystal system = trigonal
- energy above the lowest structure with this stoichiometry (meV per atom) = 148

Cell: 9.0872 9.0872 9.0872 Å, 19.63 19.63 19.63°
Fractional positions:
Ir  0.9939  0.9939  0.9939
Ir  0.2473  0.2473  0.2473
Se  0.5176  0.5176  0.5176
In  0.7412  0.7412  0.7412